# NaBi3Au8 | Alexandria via LeMat-Bulk | PBE-GGA | optimized geometry
data_NaBi3Au8
_space_group_name_H-M_alt 'P 1'
_space_group_IT_number 1
_cell_length_a 5.717
_cell_length_b 5.717
_cell_length_c 9.246
_cell_angle_alpha 90.00
_cell_angle_beta 90.00
_cell_angle_gamma 120.00
loop_
_space_group_symop_operation_xyz
'x,y,z'
loop_
_atom_site_label
_atom_site_type_symbol
_atom_site_fract_x
_atom_site_fract_y
_atom_site_fract_z
_atom_site_occupancy
Na1 Na 0.000 0.000 0.564 1
Bi1 Bi 0.667 0.333 0.440 1
Bi2 Bi 0.667 0.333 0.054 1
Bi3 Bi 0.000 0.000 0.952 1
Au1 Au 0.333 0.667 0.500 1
Au2 Au 0.333 0.667 0.996 1
Au3 Au 0.503 0.006 0.745 1
Au4 Au 0.503 0.497 0.745 1
Au5 Au 0.994 0.497 0.745 1
Au6 Au 0.164 0.327 0.252 1
Au7 Au 0.164 0.836 0.252 1
Au8 Au 0.673 0.836 0.252 1
# Space-group type: No. 156
# Energy of formation, eV/atom: -0.1146
# Relative energy among the computed polymorphs, eV per atom: 0.010
# DOS at the Fermi energy, states/eV/f.u.: 3.115